First-principles (PBE) data for a relaxed structure of Pm5Ho8Sc, as listed in Alexandria via LeMat-Bulk.

Cell and atoms, written as CIF:
```
data_Pm5Ho8Sc
_chemical_formula_sum 'Pm5 Ho8 Sc1'
_space_group_name_H-M_alt 'P 1'
_space_group_IT_number 1
_cell_length_a 8.400
_cell_length_b 8.400
_cell_length_c 8.400
_cell_angle_alpha 110.73
_cell_angle_beta 106.98
_cell_angle_gamma 110.73
loop_
_space_group_symop_operation_xyz
'x,y,z'
loop_
_atom_site_label
_atom_site_type_symbol
_atom_site_fract_x
_atom_site_fract_y
_atom_site_fract_z
Pm1 Pm 0.500 0.000 0.500
Pm2 Pm 0.293 0.105 0.972
Pm3 Pm 0.867 0.895 0.188
Pm4 Pm 0.028 0.320 0.133
Pm5 Pm 0.812 0.680 0.707
Ho1 Ho 0.167 0.731 0.070
Ho2 Ho 0.522 0.604 0.264
Ho3 Ho 0.930 0.098 0.662
Ho4 Ho 0.564 0.902 0.833
Ho5 Ho 0.661 0.396 0.918
Ho6 Ho 0.338 0.269 0.436
Ho7 Ho 0.082 0.742 0.478
Ho8 Ho 0.736 0.258 0.339
Sc1 Sc 0.250 0.500 0.750
```

Values from the calculation:
As for the space group: No. 82. The magnetization is 0.0 μB per formula unit. Its density of states at the Fermi level is 19.0 states/eV per cell. For the volume, the calculation gives 32.55 Å³ per atom. For the formation energy, the calculation gives 5.797 kcal/mol of atoms.